1.
Computed, not measured: a geometry-optimized AcSc2Os structure at the PBE level of DFT.

Values from the calculation:
Electronic total energy (eV/atom): -7.162
Energy of formation (eV/atom): -0.16

Cell: 3.3567 3.3567 8.8212 Å, 90.00 90.00 90.00°
Space group P4/mmm (No. 123)
One atom of each set of equivalent atoms:
Ac  0.0000  0.0000  0.0000
Sc  0.5000  0.5000  0.3306
Os  0.0000  0.0000  0.5000

***

2.
Computed, not measured: a geometry-optimized K2PrPtO4 structure at the PBE level of DFT.

Values from the calculation:
Electronic total energy (eV/atom): -5.428

Cell: 6.4123 14.4008 23.7273 Å, 90.00 90.00 90.00°
Space group Fddd (No. 70, origin choice 2)
One atom of each set of equivalent atoms:
K  0.1250  0.1250  0.3228
Pr  0.1250  0.1250  0.1250
Pt  0.1250  0.1250  0.6250
O  0.0984  0.2767  0.8768

***

3.
Computed, not measured: a geometry-optimized CeTaIn2O8 structure at the PBE level of DFT.

Values from the calculation:
Electronic total energy (eV/atom): -7.478

Cell: 6.9591 7.0380 6.7755 Å, 90.00 90.00 90.00°
Space group Cmmm (No. 65)
One atom of each set of equivalent atoms:
Ce  0.0000  0.0000  0.0000
Ta  0.0000  0.0000  0.5000
In  0.0000  0.5000  0.2580
O  0.0000  0.1879  0.2796
O  0.1905  0.5000  0.0000
O  0.2097  0.5000  0.5000

***

4.
Computed, not measured: a geometry-optimized Mg2ZrCu structure at the PBE level of DFT.

Values from the calculation:
Electronic total energy (eV/atom): -3.818
Energy of formation (eV/atom): 0.14

Cell: 5.7637 10.2703 2.8918 Å, 90.00 113.82 90.00°
Space group C2/m (No. 12)
One atom of each set of equivalent atoms:
Mg  0.2500  0.2500  0.0000
Zr  0.0000  0.0000  0.5000
Cu  0.0000  0.5000  0.5000